(1)
## Ag3TeBrF (PBE)

Data for a relaxed structure of Ag3TeBrF.

Lattice parameters (Å, degrees): 8.7517 8.7517 8.5623 106.16 106.16 25.93
Positions (direct):
Ag1 0.0249 0.0249 0.1791
Ag2 0.3327 0.3327 0.2001
Ag3 0.3342 0.3342 0.6943
Ag4 0.6658 0.6658 0.3057
Ag5 0.6673 0.6673 0.7999
Ag6 0.9751 0.9751 0.8209
Te1 0.1604 0.1604 0.0606
Te2 0.8396 0.8396 0.9394
Br1 0.1513 0.1513 0.5357
Br2 0.8487 0.8487 0.4643
F1 0.4717 0.4717 0.2528
F2 0.5283 0.5283 0.7472

Calculated values
The calculation puts the electronic total energy at -35.75 eV/cell. For the density of states at the Fermi level, the calculation gives 0.408 states/eV per atom. The energy relative to the elements, uncorrected is -0.439 eV per atom.



(2)
## DyLu3Ru (PBE)

Data for a relaxed structure of DyLu3Ru.

Lattice parameters (Å, degrees): 5.2735 5.2735 5.2735 90.00 90.00 90.00
Positions (direct):
Dy1 0.0000 0.0000 0.0000
Lu1 0.0000 0.5000 0.5000
Lu2 0.5000 0.0000 0.5000
Lu3 0.5000 0.5000 0.0000
Ru1 0.5000 0.5000 0.5000

Calculated values
The calculation puts the electronic total energy at -27.99 eV/cell. For the density of states at the Fermi level, the calculation gives 1.363 states/eV per atom. The value obtained for the formation energy is -0.110 eV per atom.



(3)
## SmPuHgSb (PBE)

Data for a relaxed structure of SmPuHgSb.

Lattice parameters (Å, degrees): 5.3692 5.3692 5.3692 60.00 60.00 60.00
Positions (direct):
Sm1 0.0000 0.0000 0.0000
Pu1 0.5000 0.5000 0.5000
Hg1 0.7500 0.7500 0.7500
Sb1 0.2500 0.2500 0.2500

Calculated values
The calculation puts the electronic total energy at -25.46 eV/cell. For the density of states at the Fermi level, the calculation gives 3.073 states/eV per atom. The energy relative to the elements, uncorrected is -0.497 eV per atom.



(4)
## PrCdSn (PBE)

Data for a relaxed structure of PrCdSn.

Lattice parameters (Å, degrees): 7.8259 4.6553 13.6819 90.00 93.29 90.00
Positions (direct):
Pr1 0.0253 0.2500 0.1223
Pr2 0.1588 0.2500 0.4190
Pr3 0.4688 0.7500 0.8017
Pr4 0.5312 0.2500 0.1983
Pr5 0.8412 0.7500 0.5810
Pr6 0.9747 0.7500 0.8777
Cd1 0.1231 0.2500 0.6983
Cd2 0.3358 0.7500 0.0476
Cd3 0.4976 0.7500 0.4090
Cd4 0.5024 0.2500 0.5910
Cd5 0.6642 0.2500 0.9524
Cd6 0.8769 0.7500 0.3017
Sn1 0.2407 0.7500 0.2509
Sn2 0.2624 0.7500 0.5881
Sn3 0.2628 0.2500 0.9229
Sn4 0.7372 0.7500 0.0771
Sn5 0.7376 0.2500 0.4118
Sn6 0.7593 0.2500 0.7491

Calculated values
The calculation puts the electronic total energy at -67.67 eV/cell. For the density of states at the Fermi level, the calculation gives 0.754 states/eV per atom. The value obtained for the formation energy is -0.527 eV per atom.



Computed theoretical density, in the same sequence as the records: 6.65 8.93 10.87 7.45 g cm⁻³.